Computed, not measured: crystalline CeTlCoF6 at its relaxed geometry at the PBE+U level of DFT.

Cell: 5.9371 5.9371 11.7061 Å, 90.00 90.00 120.00°
Space group P-31c (No. 163)
Symmetry-distinct sites (fractional):
Ce: 0.3333 0.6667 0.2500
Tl: 0.0000 0.0000 0.0000
Co: 0.3333 0.6667 0.7500
F: 0.0262 0.3851 0.6522

Results
ρ = 4.81 Mg/m³
Raw total energy = -0.4096 Ry per atom